1.
Below is a geometry-optimized Mg4Si3 structure, with properties calculated at the GGA-PBE level.

a = 4.3389 Å, b = 5.6041 Å, c = 6.4708 Å
α = 78.30°, β = 71.31°, γ = 67.88°
Last column: nearest neighbours and their distance in Å.
Sites, in units of the cell vectors:
Mg: 0.1069 0.2104 0.0950  4 Si 2.62-2.93
Mg: 0.3283 0.2972 0.5494  5 Si 2.68-2.81
Mg: 0.6717 0.7028 0.4506  5 Si 2.68-2.81
Mg: 0.8931 0.7896 0.9050  4 Si 2.62-2.93
Si: 0.0000 0.0000 0.5000  6 Mg 2.62-2.71, 2 Si 2.87
Si: 0.3364 0.6445 0.1691  2 Si 2.67-2.87, 6 Mg 2.77-2.93
Si: 0.6636 0.3555 0.8309  2 Si 2.67-2.87, 6 Mg 2.77-2.93

Results
Total DFT energy (no corrections) (eV per atom): -3.21
Density (Mg/m³): 2.2
Energy above the most stable polymorph in this dataset (eV per atom): 0.053
Formation energy from raw total energies (eV/atom): 0.021
Density of states at the Fermi level (states/eV/atom): 0.313
SG: P-1 (2)

***

2.
Below is a geometry-optimized GaMo3C structure, with properties calculated at the GGA-PBE level.

a = 7.0943 Å, b = 7.0943 Å, c = 3.0439 Å
α = 90.00°, β = 90.00°, γ = 111.92°
Last column: nearest neighbours and their distance in Å.
Sites, in units of the cell vectors:
Ga: 0.0000 0.0000 0.0000  8 Mo 2.80-2.84, 2 Ga 3.04
Ga: 0.5000 0.5000 0.5000  8 Mo 2.67
Mo: 0.1716 0.4314 0.0000  2 C 2.12
Mo: 0.1996 0.8004 0.5000  2 C 2.07
Mo: 0.4314 0.1716 0.0000  2 C 2.12
Mo: 0.5686 0.8284 0.0000  2 C 2.12
Mo: 0.8004 0.1996 0.5000  2 C 2.07
Mo: 0.8284 0.5686 0.0000  2 C 2.12
C: 0.0000 0.5000 0.5000  6 Mo 2.07-2.12
C: 0.5000 0.0000 0.5000  6 Mo 2.07-2.12

Results
Total DFT energy (no corrections) (eV per atom): -8.92
Density (Mg/m³): 8.6
DFT formation energy (eV/atom): 0.03
Energy above the most stable polymorph in this dataset (eV per atom): 0.000
Density of states at the Fermi level (states/eV/atom): 0.818
SG: Cmmm (65)

***

3.
Below is a geometry-optimized KNi2Hg structure, with properties calculated at the GGA-PBE level.

a = 3.3859 Å, b = 3.3859 Å, c = 7.3093 Å
α = 90.00°, β = 90.00°, γ = 90.00°
Last column: nearest neighbours and their distance in Å.
Sites, in units of the cell vectors:
K: 0.0000 0.0000 0.0000  4 K 3.39, 8 Ni 3.42, 2 Hg 3.65
Ni: 0.5000 0.5000 0.3334  1 Ni 2.43, 4 Hg 2.69
Ni: 0.5000 0.5000 0.6666  1 Ni 2.43, 4 Hg 2.69
Hg: 0.0000 0.0000 0.5000  8 Ni 2.69

Results
Total DFT energy (no corrections) (eV per atom): -2.70
Density (Mg/m³): 7.1
DFT formation energy (eV/atom): 0.54
Density of states at the Fermi level (states/eV/atom): 1.538
SG: P4/mmm (123)

***

4.
Below is a geometry-optimized BeNi2P structure, with properties calculated at the GGA-PBE level.

a = 3.6255 Å, b = 4.4104 Å, c = 4.4104 Å
α = 35.96°, β = 90.00°, γ = 90.00°
Last column: nearest neighbours and their distance in Å.
Sites, in units of the cell vectors:
Be: 0.0000 0.0000 0.0000  2 P 2.23, 7 Ni 2.24-2.38
Ni: 0.0000 0.2666 0.2666  3 Be 2.24-2.38, 4 P 2.36
Ni: 0.5000 0.5749 0.5749  3 P 2.26-2.36, 4 Be 2.35
P: 0.5000 0.8447 0.8447  2 Be 2.23, 7 Ni 2.26-2.36

Results
Total DFT energy (no corrections) (eV per atom): -5.46
Density (Mg/m³): 6.3
DFT formation energy (eV/atom): -0.28
Energy above the most stable polymorph in this dataset (eV per atom): 0.073
Density of states at the Fermi level (states/eV/atom): 0.502
SG: Amm2 (38)

***

5.
Below is a geometry-optimized ErFe3Si3 structure, with properties calculated at the GGA-PBE level.

a = 6.2379 Å, b = 6.2379 Å, c = 6.2379 Å
α = 90.00°, β = 90.00°, γ = 90.00°
Last column: nearest neighbours and their distance in Å.
Sites, in units of the cell vectors:
Er: 0.0000 0.0000 0.0000  12 Fe 3.49, 12 Si 3.49
Er: 0.5000 0.5000 0.5000  12 Fe 3.49, 12 Si 3.49
Fe: 0.0000 0.2500 0.5000  4 Si 2.21
Fe: 0.0000 0.7500 0.5000  4 Si 2.21
Fe: 0.2500 0.5000 0.0000  4 Si 2.21
Fe: 0.5000 0.0000 0.2500  4 Si 2.21
Fe: 0.5000 0.0000 0.7500  4 Si 2.21
Fe: 0.7500 0.5000 0.0000  4 Si 2.21
Si: 0.0000 0.5000 0.2500  4 Fe 2.21
Si: 0.0000 0.5000 0.7500  4 Fe 2.21
Si: 0.2500 0.0000 0.5000  4 Fe 2.21
Si: 0.5000 0.2500 0.0000  4 Fe 2.21
Si: 0.5000 0.7500 0.0000  4 Fe 2.21
Si: 0.7500 0.0000 0.5000  4 Fe 2.21

Results
Total DFT energy (no corrections) (eV per atom): -6.51
Density (Mg/m³): 5.7
Formation energy from raw total energies (eV/atom): 0.098
Density of states at the Fermi level (states/eV/atom): 1.196
SG: Pm-3n (223)

***

6.
Below is a geometry-optimized V2GeMo structure, with properties calculated at the GGA-PBE level.

a = 4.9415 Å, b = 4.9415 Å, c = 2.8173 Å
α = 100.64°, β = 100.64°, γ = 116.37°
Last column: nearest neighbours and their distance in Å.
Sites, in units of the cell vectors:
V: 0.2338 0.7662 0.0000  2 Mo 2.61-2.63, 4 V 2.62-2.82, 3 Ge 2.62-2.69
V: 0.7662 0.2338 0.0000  2 Mo 2.61-2.63, 4 V 2.62-2.82, 3 Ge 2.62-2.69
Ge: 0.2364 0.2364 0.6584  3 Mo 2.62-2.71, 6 V 2.62-2.69, 2 Ge 2.82
Mo: 0.7069 0.7069 0.4754  4 V 2.61-2.63, 3 Ge 2.62-2.71, 2 Mo 2.82

Results
Total DFT energy (no corrections) (eV per atom): -8.54
Density (Mg/m³): 7.8
DFT formation energy (eV/atom): -0.12
Density of states at the Fermi level (states/eV/atom): 0.513
SG: Cm (8)

***

7.
Below is a geometry-optimized Tb2PmSmY5 structure, with properties calculated at the GGA-PBE level.

a = 9.8482 Å, b = 9.8482 Å, c = 9.8482 Å
α = 126.88°, β = 126.88°, γ = 78.45°
Last column: nearest neighbours and their distance in Å.
Sites, in units of the cell vectors:
Tb: 0.1156 0.6156 0.7312  1 Tb 2.88, 2 Y 3.04
Tb: 0.3844 0.1156 0.5000  1 Tb 2.88, 2 Y 3.04
Tb: 0.6156 0.8844 0.5000  1 Tb 2.88, 2 Y 3.04
Tb: 0.8844 0.3844 0.2688  1 Tb 2.88, 2 Y 3.04
Pm: 0.2500 0.2500 0.0000  10 Y 3.62-3.81
Pm: 0.7500 0.7500 0.0000  10 Y 3.62-3.81
Sm: 0.2500 0.7500 0.5000  4 Y 3.10
Sm: 0.7500 0.2500 0.5000  4 Y 3.10
Y: 0.0000 0.0000 0.0000  4 Tb 3.54, 8 Y 3.77, 2 Pm 3.81
Y: 0.0703 0.1607 0.5000  1 Tb 3.04, 1 Sm 3.10
Y: 0.1607 0.6607 0.0904  1 Tb 3.04, 1 Sm 3.10
Y: 0.3393 0.4297 0.5000  1 Tb 3.04, 1 Sm 3.10
Y: 0.4297 0.9297 0.0904  1 Tb 3.04, 1 Sm 3.10
Y: 0.5000 0.5000 0.0000  4 Tb 3.54, 8 Y 3.77, 2 Pm 3.81
Y: 0.5703 0.0703 0.9096  1 Tb 3.04, 1 Sm 3.10
Y: 0.6607 0.5703 0.5000  1 Tb 3.04, 1 Sm 3.10
Y: 0.8393 0.3393 0.9096  1 Tb 3.04, 1 Sm 3.10
Y: 0.9297 0.8393 0.5000  1 Tb 3.04, 1 Sm 3.10

Results
Total DFT energy (no corrections) (eV per atom): -5.41
Density (Mg/m³): 5.9
DFT formation energy (eV/atom): 0.26
Density of states at the Fermi level (states/eV/atom): 1.218
SG: I4/mcm (140)

***

8.
Below is a geometry-optimized LaCd2Si structure, with properties calculated at the GGA-PBE level.

a = 3.7158 Å, b = 3.7158 Å, c = 7.3339 Å
α = 90.00°, β = 90.00°, γ = 100.80°
Last column: nearest neighbours and their distance in Å.
Sites, in units of the cell vectors:
La: 0.0000 0.0000 0.0000  2 Si 3.01, 3 Cd 3.32-3.33
Cd: 0.0000 0.0000 0.4541  2 Si 2.79, 2 Cd 2.90
Cd: 0.5000 0.5000 0.6823  2 Cd 2.90, 1 Si 3.15
Si: 0.5000 0.5000 0.2532  2 Cd 2.79, 2 La 3.01

Results
Total DFT energy (no corrections) (eV per atom): -3.15
Density (Mg/m³): 6.5
Formation energy from raw total energies (eV/atom): -0.106
Density of states at the Fermi level (states/eV/atom): 0.823
SG: Cmm2 (35)